# BeMo2Cl | Alexandria | PBE | relaxed
# Relative energy among the computed polymorphs in meV per atom: 42.1
# Formation energy without anion corrections in eV/atom: 0.26
# Final energy in eV for the cell shown: -26.19
data_BeMo2Cl
_chemical_formula_sum 'Be1 Mo2 Cl1'
_cell_length_a 3.1270
_cell_length_b 3.1270
_cell_length_c 6.1840
_cell_angle_alpha 90.00
_cell_angle_beta 90.00
_cell_angle_gamma 90.00
_symmetry_space_group_name_H-M 'P 4 m m'
_symmetry_Int_Tables_number 99
loop_
_symmetry_equiv_pos_as_xyz
'x,y,z'
'-y,x,z'
'-x,-y,z'
'y,-x,z'
'-x,y,z'
'y,x,z'
'x,-y,z'
'-y,-x,z'
loop_
_atom_site_label
_atom_site_fract_x
_atom_site_fract_y
_atom_site_fract_z
_atom_site_occupancy
Be1 0.0000 0.0000 0.0000 1
Mo1 0.0000 0.0000 0.6056 1
Mo2 0.5000 0.5000 0.8545 1
Cl1 0.5000 0.5000 0.2967 1